DyHoB2Pd2C2 | PBE | optimized geometry

The total energy is -6.94 eV/atom. As for the crystal system: tetragonal. As for the density: 8.92 g cm⁻³. The volume comes out at 13.6 Å³/atom.

It has space group P4mm (No. 99), with a = 3.7500 Å, b = 3.7500 Å, c = 7.7550 Å, α = 90.00°, β = 90.00° and γ = 90.00°. Symmetry generates all atoms from Dy at (0.0000, 0.0000, 0.0000), Ho at (0.5000, 0.5000, 0.6821), B at (0.0000, 0.0000, 0.5026), B at (0.5000, 0.5000, 0.1784), Pd at (0.0000, 0.5000, 0.3410), C at (0.0000, 0.0000, 0.6928) and C at (0.5000, 0.5000, 0.9880).